# 1
Computed, not measured: Cd2InPb2 after structural relaxation at the PBEsol level of DFT.

Results
As for the formation energy: 7 kJ/mol of atoms. The value obtained for the density of states at the Fermi level is 4.29 states/eV/cell. Its symmetry is No. 127.

```
Cd2InPb2
1.0
4.662 0.000 0.000
0.000 7.525 0.000
0.000 0.000 7.525
Cd In Pb
4 2 4
direct
0.000 0.867 0.633 Cd
0.000 0.367 0.867 Cd
0.000 0.633 0.133 Cd
0.000 0.133 0.367 Cd
0.000 0.000 0.000 In
0.000 0.500 0.500 In
0.500 0.329 0.171 Pb
0.500 0.671 0.829 Pb
0.500 0.171 0.671 Pb
0.500 0.829 0.329 Pb
```

---

# 2
Computed, not measured: NaSb3Pt after structural relaxation at the PBEsol level of DFT.

Results
The value obtained for the density of states at the Fermi level is 2.69 states/eV/cell. Its symmetry is No. 221. The value obtained for the raw formation energy is 1219 meV per atom.

```
NaSb3Pt
1.0
5.101 0.000 0.000
0.000 5.101 0.000
0.000 0.000 5.101
Sb Na Pt
3 1 1
direct
0.000 0.500 0.000 Sb
0.000 0.000 0.500 Sb
0.500 0.000 0.000 Sb
0.000 0.000 0.000 Na
0.500 0.500 0.500 Pt
```

---

# 3
Computed, not measured: CaTiP3 after structural relaxation at the PBEsol level of DFT.

Results
As for the formation energy: 111 kJ/mol of atoms. The value obtained for the density of states at the Fermi level is 7.70 states/eV/cell. Its symmetry is No. 221.

```
CaTiP3
1.0
-4.783 0.713 0.778
0.714 -0.475 4.822
0.777 4.823 0.360
P Ti Ca
3 1 1
direct
0.000 0.000 0.500 P
0.000 0.500 0.000 P
0.500 0.000 0.000 P
0.500 0.500 0.500 Ti
0.000 0.000 0.000 Ca
```

---

# 4
Computed, not measured: La3TeRu after structural relaxation at the PBEsol level of DFT.

Results
The value obtained for the density of states at the Fermi level is 4.72 states/eV/cell. Its symmetry is No. 221. The value obtained for the raw formation energy is -536 meV per atom.

```
La3TeRu
1.0
-3.211 -3.832 -1.952
3.116 -3.752 2.240
-2.964 0.207 4.470
Ru Te La
1 1 3
direct
0.000 0.000 0.000 Ru
0.500 0.500 0.500 Te
0.000 0.000 0.500 La
0.000 0.500 0.000 La
0.500 0.000 0.000 La
```